Here is DyFeSi2Mo after structural relaxation from Alexandria. Energies are from PBE.

Lattice parameters (Å, degrees): 3.9481 3.9481 10.7285 90.00 90.00 90.00
Space group I-4m2 (No. 119)
Asymmetric unit:
1 Dy 0.0000 0.0000 0.0000 (multiplicity 2)
2 Fe 0.0000 0.5000 0.2500 (multiplicity 2)
3 Si 0.0000 0.0000 0.3865 (multiplicity 4)
4 Mo 0.0000 0.5000 0.7500 (multiplicity 2)

Results
- Energy: -7.47 eV per atom
- Uncorrected formation energy: -0.524 eV per atom